A geometry-optimized NaSmCuS2 structure. Source: Alexandria via LeMat-Bulk, functional PBE.

Formation energy (no corrections) ... -1011 meV/atom
Uncorrected energy ... -4.69 eV per atom
Symmetry ... P2/c
Crystal system ... monoclinic

```
NaSmCuS2
1.0
6.6861 0.0000 0.0000
0.0000 4.6857 0.0000
-1.0337 0.0000 7.7274
Na Sm Cu S
2 2 2 4
direct
0.0000 0.1070 0.2500
0.0000 0.8930 0.7500
0.5000 0.4905 0.7500
0.5000 0.5095 0.2500
0.5000 0.0000 0.0000
0.5000 0.0000 0.5000
0.2395 0.2940 0.9746
0.2395 0.7060 0.4746
0.7605 0.2940 0.5254
0.7605 0.7060 0.0254
```